Entry 1:
A plane-wave DFT calculation with PBE was carried out for a relaxed structure of Mg6NiRh5.

The calculation puts the mass density at 6.60 g/cm³. As for the formation enthalpy at 0 K: -0.432 eV per atom. As for the density of states at the Fermi level: 10.21 states/eV/f.u.

a = 4.3840 Å, b = 6.2535 Å, c = 7.6265 Å
α = 114.20°, β = 106.70°, γ = 90.00°
Fractional positions:
Mg: 0.1671 0.9167 0.3342
Mg: 0.8329 0.5825 0.6658
Mg: 0.5000 0.7491 0.0000
Mg: 0.8329 0.0833 0.6658
Mg: 0.1671 0.4175 0.3342
Mg: 0.5000 0.2509 0.0000
Rh: 0.6633 0.1633 0.3266
Rh: 0.3335 0.3335 0.6671
Rh: 0.3367 0.8367 0.6734
Rh: 0.0000 0.5000 0.0000
Rh: 0.6665 0.6665 0.3329
Ni: 0.0000 0.0000 0.0000

***

Entry 2:
A plane-wave DFT calculation with PBE was carried out for a relaxed structure of Tl2CdPd.

The calculation puts the mass density at 11.24 g/cm³. The energy relative to the lowest polymorph listed for this composition comes out at 0.17 eV/f.u. As for the formation enthalpy at 0 K: 0.049 eV per atom. As for the density of states at the Fermi level: 1.46 states/eV/f.u.

a = 5.0804 Å, b = 5.0804 Å, c = 5.0804 Å
α = 60.00°, β = 60.00°, γ = 60.00°
Fractional positions:
Tl: 0.2500 0.2500 0.2500
Tl: 0.7500 0.7500 0.7500
Cd: 0.5000 0.5000 0.5000
Pd: 0.0000 0.0000 0.0000

***

Entry 3:
A plane-wave DFT calculation with PBE was carried out for a relaxed structure of Sm5HoTmIn2.

The calculation puts the mass density at 7.52 g/cm³. As for the formation enthalpy at 0 K: -0.013 eV per atom. As for the density of states at the Fermi level: 10.27 states/eV/f.u.

a = 7.8037 Å, b = 7.8037 Å, c = 11.0236 Å
α = 110.73°, β = 110.73°, γ = 90.00°
Fractional positions:
Sm: 0.1705 0.0738 0.7443
Sm: 0.9262 0.4262 0.2557
Sm: 0.5738 0.6705 0.7443
Sm: 0.3295 0.8295 0.2557
Sm: 0.6705 0.1705 0.7443
Sm: 0.5000 0.5000 0.0000
Sm: 0.0738 0.5738 0.7443
Sm: 0.8295 0.9262 0.2557
Sm: 0.0000 0.0000 0.0000
Sm: 0.4262 0.3295 0.2557
In: 0.1215 0.3785 0.0000
In: 0.3785 0.8785 0.0000
In: 0.6215 0.1215 0.0000
In: 0.8785 0.6215 0.0000
Ho: 0.2500 0.2500 0.5000
Ho: 0.7500 0.7500 0.5000
Tm: 0.7500 0.2500 0.5000
Tm: 0.2500 0.7500 0.5000

***

Entry 4:
A plane-wave DFT calculation with PBE was carried out for a relaxed structure of Pm2PrHo2Er2.

The calculation puts the mass density at 7.77 g/cm³. As for the formation enthalpy at 0 K: 0.145 eV per atom. As for the density of states at the Fermi level: 11.18 states/eV/f.u.

a = 3.5005 Å, b = 9.0186 Å, c = 8.5058 Å
α = 116.68°, β = 90.00°, γ = 101.19°
Fractional positions:
Er: 0.3494 0.6987 0.6065
Er: 0.6506 0.3013 0.3935
Pm: 0.5717 0.1435 0.9108
Pm: 0.4283 0.8565 0.0892
Ho: 0.2128 0.4255 0.7968
Ho: 0.7872 0.5745 0.2032
Pr: 0.0000 0.0000 0.5000

***

Entry 5:
A plane-wave DFT calculation with PBE was carried out for a relaxed structure of BaAs2RuSe.

As for the uncorrected formation energy: -0.447 eV per atom. The calculation puts the mass density at 6.01 g/cm³. The energy relative to the lowest polymorph listed for this composition comes out at 0.00 eV/f.u. As for the density of states at the Fermi level: 3.54 states/eV/f.u.

a = 4.7430 Å, b = 4.7430 Å, c = 5.7343 Å
α = 90.00°, β = 90.00°, γ = 90.00°
Fractional positions:
As: 0.0000 0.5000 0.0000
As: 0.5000 0.0000 0.0000
Ba: 0.5000 0.5000 0.5000
Ru: 0.0000 0.0000 0.0000
Se: 0.0000 0.0000 0.5000

***

Entry 6:
A plane-wave DFT calculation with PBE was carried out for a relaxed structure of Mg14GaSn.

The calculation puts the mass density at 2.45 g/cm³. The energy relative to the lowest polymorph listed for this composition comes out at 0.07 eV/f.u. As for the formation enthalpy at 0 K: -0.032 eV per atom. As for the density of states at the Fermi level: 7.37 states/eV/f.u.

a = 6.3837 Å, b = 6.3837 Å, c = 10.1400 Å
α = 90.00°, β = 90.00°, γ = 120.00°
Fractional positions:
Mg: 0.1665 0.3331 0.7463
Mg: 0.6669 0.8335 0.2537
Mg: 0.1665 0.8335 0.2537
Mg: 0.0004 0.5002 0.0000
Mg: 0.6667 0.3333 0.7513
Mg: 0.5014 0.0028 0.5000
Mg: 0.1665 0.8335 0.7463
Mg: 0.6667 0.3333 0.2487
Mg: 0.1665 0.3331 0.2537
Mg: 0.4998 0.5002 0.0000
Mg: 0.4998 0.9996 0.0000
Mg: 0.6669 0.8335 0.7463
Mg: 0.5014 0.4986 0.5000
Mg: 0.9972 0.4986 0.5000
Sn: 0.0000 0.0000 0.0000
Ga: 0.0000 0.0000 0.5000

***

Entry 7:
A plane-wave DFT calculation with PBE was carried out for a relaxed structure of CsTe3Ru.

As for the uncorrected formation energy: 1.887 eV per atom. The calculation puts the mass density at 4.17 g/cm³. As for the density of states at the Fermi level: 7.14 states/eV/f.u.

a = 6.2629 Å, b = 6.2629 Å, c = 6.2629 Å
α = 90.00°, β = 90.00°, γ = 90.00°
Each line ends with the local moment (μB).
Fractional positions:
Te: 0.0000 0.0000 0.5000  0.02
Te: 0.0000 0.5000 0.0000  0.04
Te: 0.5000 0.0000 0.0000  0.02
Cs: 0.0000 0.0000 0.0000  0.00
Ru: 0.5000 0.5000 0.5000  2.75

***

Entry 8:
A plane-wave DFT calculation with PBE was carried out for a relaxed structure of Pm2GeSe.

As for the uncorrected formation energy: -1.405 eV per atom. The calculation puts the mass density at 6.75 g/cm³. The energy relative to the lowest polymorph listed for this composition comes out at 0.05 eV/f.u. As for the density of states at the Fermi level: 1.34 states/eV/f.u.

a = 4.2393 Å, b = 4.2393 Å, c = 7.3982 Å
α = 73.35°, β = 73.35°, γ = 60.00°
Fractional positions:
Se: 0.5000 0.5000 0.5000
Pm: 0.7469 0.7469 0.7594
Pm: 0.2531 0.2531 0.2406
Ge: 0.0000 0.0000 0.0000